Entry 1:
Density functional theory data (PBE) for a relaxed La3Mg7Ag4 crystal.

The structure in extended XYZ format:
```
14
Lattice="-1.146 -0.660 4.418 7.735 -0.466 4.344 1.999 8.276 4.162" Properties=species:S:1:pos:R:3 pbc="T T T"
La 7.090 5.778 9.924
La 4.867 3.905 4.253
La 1.499 1.372 3.001
Ag 1.947 5.407 3.720
Ag 5.394 5.900 7.095
Ag 6.641 1.743 9.204
Ag 3.194 1.250 5.829
Mg 0.000 0.000 0.000
Mg 5.890 0.939 6.482
Mg 1.437 3.466 5.705
Mg 2.698 6.211 6.442
Mg 3.913 6.952 9.275
Mg 7.151 3.684 7.220
Mg 4.675 0.198 3.650
```

Formation energy from the elements in eV/atom: -0.219
Uncorrected energy in eV/atom: -2.887
D(E_F) in states/eV/atom: 0.835

Entry 2:
Density functional theory data (PBE) for a relaxed LaMgAg3 crystal.

The structure in extended XYZ format:
```
10
Lattice="5.803 0.000 0.000 0.000 6.847 0.000 0.000 -3.424 5.929" Properties=species:S:1:pos:R:3 pbc="T T T"
Ag 1.450 4.826 1.167
Ag 1.451 3.423 3.595
Ag 4.353 -1.402 4.762
Ag 4.352 1.401 4.762
Ag 4.352 0.000 2.334
Ag 1.451 2.022 1.167
Mg 2.901 0.000 0.000
Mg 0.000 0.000 0.000
La 4.352 3.424 1.977
La 1.451 -0.001 3.952
```

Formation energy from the elements in eV/atom: -0.176
Uncorrected energy in eV/atom: -3.191
D(E_F) in states/eV/atom: 0.496

> Which value of D(E_F) does entry 2 give?

0.496 states/eV/atom

> What is the formula in the first record?

La3Mg7Ag4